(1)
# BaHf2Ni

A relaxed BaHf2Ni crystal (PBE, OQMD via LeMat-Bulk).

Unit cell a=5.0865 b=5.0865 c=5.0865 alpha=60.00 beta=60.00 gamma=60.00
Atoms (fractional coordinates):
1 Hf 0.7500 0.7500 0.7500
2 Hf 0.5000 0.5000 0.5000
3 Ni 0.0000 0.0000 0.0000
4 Ba 0.2500 0.2500 0.2500

Summary:
Total magnetic moment, μB/atom: 0.68
DFT total energy, hartree per atom: -0.223

---

(2)
# BaHfNi

A relaxed BaHfNi crystal (PBE, OQMD via LeMat-Bulk).

Unit cell a=4.8053 b=4.8053 c=4.8053 alpha=60.00 beta=60.00 gamma=60.00
Atoms (fractional coordinates):
1 Hf 0.2500 0.2500 0.2500
2 Ni 0.7500 0.7500 0.7500
3 Ba 0.0000 0.0000 0.0000

Summary:
Total magnetic moment, μB/atom: 0.00
Energy above the most stable polymorph in this dataset, eV/atom: 0.788

---

(3)
# Ba2Hf2Ni3

A relaxed Ba2Hf2Ni3 crystal (PBE, OQMD via LeMat-Bulk).

Unit cell a=11.7107 b=11.7107 c=11.7107 alpha=21.63 beta=21.63 gamma=21.63
Atoms (fractional coordinates):
1 Ba 0.1825 0.1825 0.1825
2 Ba 0.7454 0.7454 0.7454
3 Hf 0.9869 0.9869 0.9869
4 Hf 0.5933 0.5933 0.5933
5 Ni 0.2907 0.2907 0.2907
6 Ni 0.6639 0.6639 0.6639
7 Ni 0.9124 0.9124 0.9124

Summary:
Total magnetic moment, μB/atom: 0.04
DFT total energy, hartree per atom: -0.217

---

(4)
# BaHfNi

A relaxed BaHfNi crystal (PBE, OQMD via LeMat-Bulk).

Unit cell a=4.8835 b=4.8835 c=4.8835 alpha=60.00 beta=60.00 gamma=60.00
Atoms (fractional coordinates):
1 Hf 0.7500 0.7500 0.7500
2 Ni 0.0000 0.0000 0.0000
3 Ba 0.2500 0.2500 0.2500

Summary:
Total magnetic moment, μB/atom: 0.00
Energy above the most stable polymorph in this dataset, eV/atom: 0.000

---

(5)
# BaHfNp

A relaxed BaHfNp crystal (PBE, OQMD via LeMat-Bulk).

Unit cell a=5.4622 b=5.4622 c=5.4622 alpha=60.00 beta=60.00 gamma=60.00
Atoms (fractional coordinates):
1 Np 0.7500 0.7500 0.7500
2 Ba 0.2500 0.2500 0.2500
3 Hf 0.0000 0.0000 0.0000

Summary:
Total magnetic moment, μB/atom: 1.80
Energy above the most stable polymorph in this dataset, eV/atom: 0.000

---

(6)
# BaHfNp

A relaxed BaHfNp crystal (PBE, OQMD via LeMat-Bulk).

Unit cell a=4.9992 b=4.9992 c=4.9992 alpha=60.00 beta=60.00 gamma=60.00
Atoms (fractional coordinates):
1 Hf 0.2500 0.2500 0.2500
2 Np 0.7500 0.7500 0.7500
3 Ba 0.0000 0.0000 0.0000

Summary:
Total magnetic moment, μB/atom: 1.75
Energy above the most stable polymorph in this dataset, eV/atom: 0.237